First-principles (PBE) data for a relaxed structure of Zn2CrOs, as listed in Alexandria via LeMat-Bulk.

Values from the calculation:
Energy above the most stable polymorph in this dataset = 0.163 eV/atom
ΔH_f (0 K) = 0.214 eV per atom
Calculated total energy = -5.636 eV per atom
Fermi-level density of states = 0.63 states/eV/atom

a b c (Å): 3.0096 4.1613 4.3465
angles (deg): 90.00 90.00 90.00
Each line ends with the local moment (μB).
Sites, in units of the cell vectors:
Cr: 0.5000 0.0000 0.5000  1.20
Os: 0.0000 0.5000 0.5000  -0.21
Zn: 0.0000 0.0000 0.0000  -0.02
Zn: 0.5000 0.5000 0.0000  -0.01